Entry 1:
SrNd2Ag2Ge2 | GGA-PBE | relaxed

```
SrNd2Ag2Ge2
1.0
2.332 1.346 9.768
-2.332 1.346 9.768
0.000 -2.693 9.768
Sr Nd Ag Ge
1 2 2 2
direct
0.000 0.000 0.000
0.129 0.129 0.129
0.871 0.871 0.871
0.406 0.406 0.406
0.594 0.594 0.594
0.252 0.252 0.252
0.748 0.748 0.748
```

formation enthalpy at 0 K = -453 meV per atom
N(E_F) = 2.2 states/eV per cell
symmetry = R-3m, No. 166

Entry 2:
TbNdAgGe | GGA-PBE | relaxed

```
TbNdAgGe
1.0
0.000 3.662 3.662
3.662 0.000 3.662
3.662 3.662 0.000
Tb Nd Ag Ge
1 1 1 1
direct
0.000 0.000 0.000
0.500 0.500 0.500
0.750 0.750 0.750
0.250 0.250 0.250
```

formation enthalpy at 0 K = -518 meV per atom
N(E_F) = 4.0 states/eV per cell
symmetry = F-43m, No. 216

Entry 3:
Nd8AgGe3Te4 | GGA-PBE | relaxed

```
Nd8AgGe3Te4
1.0
4.397 2.538 7.311
-4.397 2.538 7.311
0.000 -5.077 7.311
Nd Ag Ge Te
8 1 3 4
direct
0.232 0.750 0.750
0.241 0.241 0.241
0.250 0.250 0.768
0.250 0.768 0.250
0.750 0.232 0.750
0.750 0.750 0.232
0.759 0.759 0.759
0.768 0.250 0.250
0.500 0.500 0.500
0.000 0.000 0.500
0.000 0.500 0.000
0.500 0.000 0.000
0.000 0.000 0.000
0.000 0.500 0.500
0.500 0.000 0.500
0.500 0.500 0.000
```

N(E_F) = 9.1 states/eV per cell
energy relative to the elements, uncorrected = -1101 meV per atom
symmetry = R-3m, No. 166

Entry 4:
NdTmAgGe | GGA-PBE | relaxed

```
NdTmAgGe
1.0
0.000 3.632 3.632
3.632 0.000 3.632
3.632 3.632 0.000
Nd Tm Ag Ge
1 1 1 1
direct
0.000 0.000 0.000
0.500 0.500 0.500
0.250 0.250 0.250
0.750 0.750 0.750
```

formation enthalpy at 0 K = -501 meV per atom
N(E_F) = 3.5 states/eV per cell
symmetry = F-43m, No. 216

Entry 5:
Nd2YAg2Ge2 | GGA-PBE | relaxed

```
Nd2YAg2Ge2
1.0
2.278 1.315 9.533
-2.278 1.315 9.533
0.000 -2.630 9.533
Nd Y Ag Ge
2 1 2 2
direct
0.125 0.125 0.125
0.875 0.875 0.875
0.000 0.000 0.000
0.392 0.392 0.392
0.608 0.608 0.608
0.265 0.265 0.265
0.735 0.735 0.735
```

formation enthalpy at 0 K = -425 meV per atom
N(E_F) = 3.5 states/eV per cell
symmetry = R-3m, No. 166

Entry 6:
NdYAgGe | GGA-PBE | relaxed

```
NdYAgGe
1.0
0.000 3.659 3.659
3.659 0.000 3.659
3.659 3.659 0.000
Nd Y Ag Ge
1 1 1 1
direct
0.000 0.000 0.000
0.500 0.500 0.500
0.250 0.250 0.250
0.750 0.750 0.750
```

formation enthalpy at 0 K = -528 meV per atom
N(E_F) = 3.8 states/eV per cell
symmetry = F-43m, No. 216

Entry 7:
NdZnAgGe | GGA-PBE | relaxed

```
NdZnAgGe
1.0
0.000 3.466 3.466
3.466 0.000 3.466
3.466 3.466 0.000
Nd Zn Ag Ge
1 1 1 1
direct
0.000 0.000 0.000
0.750 0.750 0.750
0.500 0.500 0.500
0.250 0.250 0.250
```

formation enthalpy at 0 K = -306 meV per atom
N(E_F) = 1.6 states/eV per cell
symmetry = F-43m, No. 216

Entry 8:
NiAg3Ge | GGA-PBE | relaxed

```
NiAg3Ge
1.0
4.827 0.000 0.000
0.000 4.827 0.000
0.000 0.000 4.827
Ni Ag Ge
1 3 1
direct
0.000 0.000 0.000
0.000 0.500 0.500
0.500 0.000 0.500
0.500 0.500 0.000
0.500 0.500 0.500
```

formation enthalpy at 0 K = 888 meV per atom
N(E_F) = 4.0 states/eV per cell
offset from the most stable computed form = 81 meV/atom
symmetry = Pm-3m, No. 221

Entry 9:
Ni2Ag2Ge | GGA-PBE | relaxed

```
Ni2Ag2Ge
1.0
5.968 0.000 0.000
0.000 5.968 0.000
0.000 0.000 4.278
Ni Ag Ge
4 4 2
direct
0.140 0.360 0.000
0.360 0.860 0.000
0.640 0.140 0.000
0.860 0.640 0.000
0.167 0.667 0.500
0.333 0.167 0.500
0.667 0.833 0.500
0.833 0.333 0.500
0.000 0.000 0.000
0.500 0.500 0.000
```

formation enthalpy at 0 K = 38 meV per atom
N(E_F) = 5.3 states/eV per cell
symmetry = P4/mbm, No. 127

Entry 10:
NiAg3Ge | GGA-PBE | relaxed

```
NiAg3Ge
1.0
4.772 0.000 0.000
0.000 4.772 0.000
0.000 0.000 4.772
Ni Ag Ge
1 3 1
direct
0.000 0.000 0.000
0.000 0.000 0.500
0.000 0.500 0.000
0.500 0.000 0.000
0.500 0.500 0.500
```

formation enthalpy at 0 K = 806 meV per atom
N(E_F) = 2.8 states/eV per cell
offset from the most stable computed form = 0 meV/atom
symmetry = Pm-3m, No. 221

Entry 11:
NiAgGe3 | GGA-PBE | relaxed

```
NiAgGe3
1.0
4.622 0.000 0.000
0.000 4.622 0.000
0.000 0.000 4.622
Ni Ag Ge
1 1 3
direct
0.000 0.000 0.000
0.500 0.500 0.500
0.000 0.000 0.500
0.000 0.500 0.000
0.500 0.000 0.000
```

formation enthalpy at 0 K = 287 meV per atom
N(E_F) = 4.1 states/eV per cell
offset from the most stable computed form = 0 meV/atom
symmetry = Pm-3m, No. 221

Entry 12:
NiAgGe3 | GGA-PBE | relaxed

```
NiAgGe3
1.0
4.916 0.000 0.000
0.000 4.916 0.000
0.000 0.000 4.916
Ni Ag Ge
1 1 3
direct
0.000 0.000 0.000
0.500 0.500 0.500
0.000 0.500 0.500
0.500 0.000 0.500
0.500 0.500 0.000
```

formation enthalpy at 0 K = 1124 meV per atom
N(E_F) = 4.4 states/eV per cell
offset from the most stable computed form = 837 meV/atom
symmetry = Pm-3m, No. 221